An optimized crystal structure of LaCrHg2. Source: Alexandria, functional GGA-PBE.

```
data_LaCrHg2
_chemical_formula_sum 'La1 Cr1 Hg2'
_cell_length_a 8.638
_cell_length_b 8.638
_cell_length_c 8.638
_cell_angle_alpha 26.05
_cell_angle_beta 26.05
_cell_angle_gamma 26.05
_space_group_name_H-M_alt 'P 1'
_space_group_IT_number 1
_space_group_name_Hall 'P 1'
loop_
_atom_site_label
_atom_site_type_symbol
_atom_site_fract_x
_atom_site_fract_y
_atom_site_fract_z
La1 La 0.000 0.000 0.000
Cr1 Cr 0.248 0.248 0.248
Hg1 Hg 0.515 0.515 0.515
Hg2 Hg 0.765 0.765 0.765
```

E_form in eV/atom: 0.279

An optimized crystal structure of Zr6MoRu5. Source: Alexandria, functional GGA-PBE.

```
data_Zr6MoRu5
_chemical_formula_sum 'Zr6 Mo1 Ru5'
_cell_length_a 4.647
_cell_length_b 6.567
_cell_length_c 7.347
_cell_angle_alpha 90.00
_cell_angle_beta 108.32
_cell_angle_gamma 90.00
_space_group_name_H-M_alt 'P 1'
_space_group_IT_number 1
_space_group_name_Hall 'P 1'
loop_
_atom_site_label
_atom_site_type_symbol
_atom_site_fract_x
_atom_site_fract_y
_atom_site_fract_z
Zr1 Zr 0.000 0.250 0.000
Zr2 Zr 0.000 0.750 0.000
Zr3 Zr 0.334 0.249 0.667
Zr4 Zr 0.334 0.751 0.667
Zr5 Zr 0.666 0.249 0.333
Zr6 Zr 0.666 0.751 0.333
Mo1 Mo 0.500 0.000 0.000
Ru1 Ru 0.167 0.000 0.335
Ru2 Ru 0.167 0.500 0.335
Ru3 Ru 0.500 0.500 0.000
Ru4 Ru 0.833 0.000 0.665
Ru5 Ru 0.833 0.500 0.665
```

E_form in eV/atom: -0.544

An optimized crystal structure of Zr2OsPb. Source: Alexandria, functional GGA-PBE.

```
data_Zr2OsPb
_chemical_formula_sum 'Zr2 Os1 Pb1'
_cell_length_a 6.212
_cell_length_b 6.212
_cell_length_c 6.212
_cell_angle_alpha 148.99
_cell_angle_beta 135.63
_cell_angle_gamma 55.12
_space_group_name_H-M_alt 'P 1'
_space_group_IT_number 1
_space_group_name_Hall 'P 1'
loop_
_atom_site_label
_atom_site_type_symbol
_atom_site_fract_x
_atom_site_fract_y
_atom_site_fract_z
Zr1 Zr 0.000 0.000 0.000
Zr2 Zr 0.714 0.214 0.500
Os1 Os 0.519 0.519 0.000
Pb1 Pb 0.294 0.794 0.500
```

E_form in eV/atom: -0.108

An optimized crystal structure of BaTaAs2. Source: Alexandria, functional GGA-PBE.

```
data_BaTaAs2
_chemical_formula_sum 'Ba1 Ta1 As2'
_cell_length_a 5.079
_cell_length_b 5.079
_cell_length_c 5.079
_cell_angle_alpha 60.00
_cell_angle_beta 60.00
_cell_angle_gamma 60.00
_space_group_name_H-M_alt 'P 1'
_space_group_IT_number 1
_space_group_name_Hall 'P 1'
loop_
_atom_site_label
_atom_site_type_symbol
_atom_site_fract_x
_atom_site_fract_y
_atom_site_fract_z
Ba1 Ba 0.000 0.000 0.000
Ta1 Ta 0.500 0.500 0.500
As1 As 0.250 0.250 0.250
As2 As 0.750 0.750 0.750
```

Relative energy among the computed polymorphs in kJ/mol of formula units: 264.3
E_form in eV/atom: 0.065

An optimized crystal structure of KAgB3. Source: Alexandria, functional GGA-PBE.

```
data_KAgB3
_chemical_formula_sum 'K1 Ag1 B3'
_cell_length_a 4.411
_cell_length_b 4.411
_cell_length_c 4.411
_cell_angle_alpha 90.00
_cell_angle_beta 90.00
_cell_angle_gamma 90.00
_space_group_name_H-M_alt 'P 1'
_space_group_IT_number 1
_space_group_name_Hall 'P 1'
loop_
_atom_site_label
_atom_site_type_symbol
_atom_site_fract_x
_atom_site_fract_y
_atom_site_fract_z
K1 K 0.000 0.000 0.000
Ag1 Ag 0.500 0.500 0.500
B1 B 0.000 0.500 0.500
B2 B 0.500 0.000 0.500
B3 B 0.500 0.500 0.000
```

Relative energy among the computed polymorphs in kJ/mol of formula units: 0.0
E_form in eV/atom: 1.900

An optimized crystal structure of ScCrS2Cl. Source: Alexandria, functional GGA-PBE.

```
data_ScCrS2Cl
_chemical_formula_sum 'Sc1 Cr1 S2 Cl1'
_cell_length_a 4.696
_cell_length_b 4.696
_cell_length_c 4.531
_cell_angle_alpha 90.00
_cell_angle_beta 90.00
_cell_angle_gamma 90.00
_space_group_name_H-M_alt 'P 1'
_space_group_IT_number 1
_space_group_name_Hall 'P 1'
loop_
_atom_site_label
_atom_site_type_symbol
_atom_site_fract_x
_atom_site_fract_y
_atom_site_fract_z
Sc1 Sc 0.000 0.000 0.000
Cr1 Cr 0.500 0.500 0.500
S1 S 0.000 0.500 0.500
S2 S 0.500 0.000 0.500
Cl1 Cl 0.500 0.500 0.000
```

Relative energy among the computed polymorphs in kJ/mol of formula units: 0.0
Formation energy (no corrections) in eV/atom: -0.61

An optimized crystal structure of Li6AcAl6. Source: Alexandria, functional GGA-PBE.

```
data_Li6AcAl6
_chemical_formula_sum 'Li6 Ac1 Al6'
_cell_length_a 7.242
_cell_length_b 7.242
_cell_length_c 7.242
_cell_angle_alpha 135.46
_cell_angle_beta 98.38
_cell_angle_gamma 98.14
_space_group_name_H-M_alt 'P 1'
_space_group_IT_number 1
_space_group_name_Hall 'P 1'
loop_
_atom_site_label
_atom_site_type_symbol
_atom_site_fract_x
_atom_site_fract_y
_atom_site_fract_z
Li1 Li 0.144 0.144 0.000
Li2 Li 0.146 0.500 0.646
Li3 Li 0.293 0.793 0.500
Li4 Li 0.707 0.207 0.500
Li5 Li 0.854 0.500 0.354
Li6 Li 0.856 0.856 0.000
Ac1 Ac 0.500 0.500 0.000
Al1 Al 0.000 0.000 0.500
Al2 Al 0.000 0.500 0.000
Al3 Al 0.279 0.000 0.279
Al4 Al 0.500 0.000 0.000
Al5 Al 0.500 0.500 0.500
Al6 Al 0.721 0.000 0.721
```

E_form in eV/atom: -0.188

An optimized crystal structure of Zn2InH. Source: Alexandria, functional GGA-PBE.

```
data_Zn2InH
_chemical_formula_sum 'Zn2 In1 H1'
_cell_length_a 4.568
_cell_length_b 4.568
_cell_length_c 4.568
_cell_angle_alpha 60.00
_cell_angle_beta 60.00
_cell_angle_gamma 60.00
_space_group_name_H-M_alt 'P 1'
_space_group_IT_number 1
_space_group_name_Hall 'P 1'
loop_
_atom_site_label
_atom_site_type_symbol
_atom_site_fract_x
_atom_site_fract_y
_atom_site_fract_z
Zn1 Zn 0.250 0.250 0.250
Zn2 Zn 0.750 0.750 0.750
In1 In 0.000 0.000 0.000
H1 H 0.500 0.500 0.500
```

Relative energy among the computed polymorphs in kJ/mol of formula units: 113.3